A relaxed structure of LaSmAg3. Source: Alexandria via LeMat-Bulk, functional PBE.

a b c (Å): 14.388 14.388 4.844
angles (deg): 90.00 90.00 165.26
Element x y z (fractional)
1 La 0.074 0.926 0.750
2 La 0.926 0.074 0.250
3 Sm 0.209 0.791 0.250
4 Sm 0.791 0.209 0.750
5 Ag 0.323 0.677 0.250
6 Ag 0.379 0.621 0.750
7 Ag 0.476 0.524 0.750
8 Ag 0.524 0.476 0.250
9 Ag 0.621 0.379 0.250
10 Ag 0.677 0.323 0.750

Summary:
As for the calculated formation energy: -269 meV/atom. As for the total energy: -3.91 eV/atom. The value obtained for the volume is 25.52 Å³/atom. Its magnetization is 0.0 μB/cell.



A relaxed structure of La3Sm2Ag3. Source: Alexandria via LeMat-Bulk, functional PBE.

a b c (Å): 11.748 11.748 11.748
angles (deg): 161.40 152.83 33.13
Element x y z (fractional)
1 La 0.000 0.000 0.000
2 La 0.379 0.879 0.500
3 La 0.621 0.121 0.500
4 Sm 0.232 0.232 0.000
5 Sm 0.768 0.768 0.000
6 Ag 0.121 0.621 0.500
7 Ag 0.500 0.500 0.000
8 Ag 0.879 0.379 0.500

Summary:
As for the calculated formation energy: -185 meV/atom. As for the total energy: -4.28 eV/atom. The value obtained for the volume is 29.49 Å³/atom. Its magnetization is 0.0 μB/cell.



A relaxed structure of La2Sm2Ag3. Source: Alexandria via LeMat-Bulk, functional PBE.

a b c (Å): 5.201 5.212 9.133
angles (deg): 90.25 106.50 119.61
Element x y z (fractional)
1 La 0.243 0.366 0.111
2 La 0.757 0.634 0.889
3 Sm 0.253 0.878 0.630
4 Sm 0.747 0.122 0.370
5 Ag 0.012 0.752 0.266
6 Ag 0.500 0.500 0.500
7 Ag 0.988 0.248 0.734

Summary:
As for the calculated formation energy: -126 meV/atom. As for the total energy: -4.10 eV/atom. The value obtained for the volume is 29.04 Å³/atom. Its magnetization is 0.8 μB/cell.



A relaxed structure of La6SmAg2. Source: Alexandria via LeMat-Bulk, functional PBE.

a b c (Å): 9.785 9.785 6.329
angles (deg): 93.71 93.71 73.22
Element x y z (fractional)
1 La 0.063 0.822 0.997
2 La 0.149 0.392 0.172
3 La 0.178 0.937 0.503
4 La 0.233 0.542 0.694
5 La 0.392 0.149 0.672
6 La 0.458 0.767 0.806
7 La 0.542 0.233 0.194
8 La 0.608 0.851 0.328
9 La 0.767 0.458 0.306
10 La 0.822 0.063 0.497
11 La 0.851 0.608 0.828
12 La 0.937 0.178 0.003
13 Sm 0.395 0.605 0.250
14 Sm 0.605 0.395 0.750
15 Ag 0.035 0.295 0.600
16 Ag 0.295 0.035 0.100
17 Ag 0.705 0.965 0.900
18 Ag 0.965 0.705 0.400

Summary:
As for the calculated formation energy: -36 meV/atom. As for the total energy: -4.48 eV/atom. The value obtained for the volume is 32.13 Å³/atom. Its magnetization is 0.0 μB/cell.



Question: Which of these has the lowest calculated formation energy?
Answer: LaSmAg3